DFT (GGA+U) results for crystalline NpCd2MoO6 at its relaxed geometry.

Unit cell a=5.7120 b=5.7125 c=5.9329 alpha=61.22 beta=61.21 gamma=59.99
Sites, in units of the cell vectors:
O: 0.4520 0.6807 0.7894
Cd: 0.0889 0.0891 0.7333
Cd: 0.5433 0.5432 0.3699
O: 0.1803 0.9517 0.3136
O: 0.9516 0.5546 0.3136
O: 0.0778 0.4522 0.7894
Np: 0.3162 0.3162 0.0515
O: 0.6807 0.0777 0.7895
O: 0.5546 0.1801 0.3135
Mo: 0.8162 0.8162 0.5515

Properties
Raw total energy   -70.04 eV for the cell shown
Density   7.8 g/cm³
Crystal system   trigonal